{"formula": "SrAs2Pt", "functional": "GGA-PBE", "state": "optimized geometry", "lattice": [[4.503, 0.000, -1.046], [-0.980, 7.754, -4.219], [-0.063, 0.316, 9.943]], "species": ["Sr", "Sr", "Sr", "Sr", "As", "As", "As", "As", "As", "As", "As", "As", "Pt", "Pt", "Pt", "Pt"], "fractional_positions": [[0.695, 0.695, 0.391], [0.500, 0.244, 0.000], [0.500, 0.756, 0.000], [0.305, 0.305, 0.609], [0.926, 0.426, 0.853], [0.703, 0.355, 0.407], [0.703, 0.052, 0.407], [0.297, 0.645, 0.593], [0.072, 0.072, 0.145], [0.074, 0.574, 0.147], [0.928, 0.928, 0.855], [0.297, 0.948, 0.593], [0.846, 0.607, 0.692], [0.154, 0.393, 0.308], [0.154, 0.914, 0.308], [0.846, 0.086, 0.692]], "e_tot_ev_per_atom": -5.0346}